Entry 1:
# PBE Ac2ScAgO6, relaxed
# - DOS(E_F) (states/eV/cell) = 1.53
# - E_tot (eV/cell) = -71.702
data_Ac2ScAgO6
_space_group_name_H-M_alt 'P 1'
_space_group_IT_number 1
_cell_length_a 5.854
_cell_length_b 5.854
_cell_length_c 4.286
_cell_angle_alpha 90.00
_cell_angle_beta 90.00
_cell_angle_gamma 90.00
loop_
_space_group_symop_operation_xyz
'x,y,z'
loop_
_atom_site_label
_atom_site_type_symbol
_atom_site_fract_x
_atom_site_fract_y
_atom_site_fract_z
Ac1 Ac 0.000 0.500 0.000
Ac2 Ac 0.500 0.000 0.000
Sc1 Sc 0.000 0.000 0.554
Ag1 Ag 0.500 0.500 0.579
O1 O 0.000 0.000 0.082
O2 O 0.244 0.244 0.623
O3 O 0.244 0.756 0.623
O4 O 0.500 0.500 0.084
O5 O 0.756 0.244 0.623
O6 O 0.756 0.756 0.623

=====

Entry 2:
# PBE ScSiRu, relaxed
# - DOS(E_F) (states/eV/cell) = 13.75
# - E_tot (eV/cell) = -94.868
data_ScSiRu
_space_group_name_H-M_alt 'P 1'
_space_group_IT_number 1
_cell_length_a 6.658
_cell_length_b 4.165
_cell_length_c 6.982
_cell_angle_alpha 90.00
_cell_angle_beta 90.00
_cell_angle_gamma 90.00
loop_
_space_group_symop_operation_xyz
'x,y,z'
loop_
_atom_site_label
_atom_site_type_symbol
_atom_site_fract_x
_atom_site_fract_y
_atom_site_fract_z
Sc1 Sc 0.007 0.250 0.186
Sc2 Sc 0.493 0.750 0.686
Sc3 Sc 0.507 0.250 0.314
Sc4 Sc 0.993 0.750 0.814
Si1 Si 0.205 0.250 0.612
Si2 Si 0.295 0.750 0.112
Si3 Si 0.705 0.250 0.888
Si4 Si 0.795 0.750 0.388
Ru1 Ru 0.157 0.750 0.439
Ru2 Ru 0.343 0.250 0.939
Ru3 Ru 0.657 0.750 0.061
Ru4 Ru 0.843 0.250 0.561

=====

Entry 3:
# PBE Sc2NbSiF, relaxed
# - DOS(E_F) (states/eV/cell) = 5.23
# - E_tot (eV/cell) = -30.007
data_Sc2NbSiF
_space_group_name_H-M_alt 'P 1'
_space_group_IT_number 1
_cell_length_a 5.234
_cell_length_b 5.234
_cell_length_c 4.019
_cell_angle_alpha 90.00
_cell_angle_beta 90.00
_cell_angle_gamma 90.00
loop_
_space_group_symop_operation_xyz
'x,y,z'
loop_
_atom_site_label
_atom_site_type_symbol
_atom_site_fract_x
_atom_site_fract_y
_atom_site_fract_z
Sc1 Sc 0.000 0.500 0.000
Sc2 Sc 0.500 0.000 0.000
Nb1 Nb 0.000 0.000 0.000
Si1 Si 0.500 0.500 0.500
F1 F 0.000 0.000 0.500

=====

Entry 4:
# PBE AuBr4N, relaxed
# - E_tot (eV/cell) = -29.483
data_AuBr4N
_space_group_name_H-M_alt 'P 1'
_space_group_IT_number 1
_cell_length_a 8.159
_cell_length_b 7.763
_cell_length_c 12.086
_cell_angle_alpha 90.00
_cell_angle_beta 125.55
_cell_angle_gamma 90.00
loop_
_space_group_symop_operation_xyz
'x,y,z'
loop_
_atom_site_label
_atom_site_type_symbol
_atom_site_fract_x
_atom_site_fract_y
_atom_site_fract_z
Au1 Au 0.000 0.000 0.000
Au2 Au 0.000 0.500 0.500
Br1 Br 0.142 0.248 0.644
Br2 Br 0.142 0.252 0.144
Br3 Br 0.354 0.104 0.557
Br4 Br 0.354 0.396 0.057
Br5 Br 0.646 0.604 0.943
Br6 Br 0.646 0.896 0.443
Br7 Br 0.858 0.748 0.856
Br8 Br 0.858 0.752 0.356
N1 N 0.500 0.000 0.500
N2 N 0.500 0.500 0.000

=====

Entry 5:
# PBE AcDy2Tl, relaxed
# - DOS(E_F) (states/eV/cell) = 29.29
# - ΔH_f (0 K) (kJ per mole of atoms) = 5
data_AcDy2Tl
_space_group_name_H-M_alt 'P 1'
_space_group_IT_number 1
_cell_length_a 7.951
_cell_length_b 7.951
_cell_length_c 7.951
_cell_angle_alpha 90.00
_cell_angle_beta 90.00
_cell_angle_gamma 90.00
loop_
_space_group_symop_operation_xyz
'x,y,z'
loop_
_atom_site_label
_atom_site_type_symbol
_atom_site_fract_x
_atom_site_fract_y
_atom_site_fract_z
Ac1 Ac 0.000 0.000 0.000
Ac2 Ac 0.000 0.500 0.500
Ac3 Ac 0.500 0.000 0.500
Ac4 Ac 0.500 0.500 0.000
Dy1 Dy 0.250 0.250 0.250
Dy2 Dy 0.250 0.250 0.750
Dy3 Dy 0.250 0.750 0.250
Dy4 Dy 0.250 0.750 0.750
Dy5 Dy 0.750 0.250 0.250
Dy6 Dy 0.750 0.250 0.750
Dy7 Dy 0.750 0.750 0.250
Dy8 Dy 0.750 0.750 0.750
Tl1 Tl 0.000 0.000 0.500
Tl2 Tl 0.000 0.500 0.000
Tl3 Tl 0.500 0.000 0.000
Tl4 Tl 0.500 0.500 0.500

=====

Entry 6:
# PBE SrCrBi3, relaxed
# - DOS(E_F) (states/eV/cell) = 5.66
# - ΔH_f (0 K) (kJ per mole of atoms) = 2
data_SrCrBi3
_space_group_name_H-M_alt 'P 1'
_space_group_IT_number 1
_cell_length_a 5.445
_cell_length_b 5.445
_cell_length_c 5.445
_cell_angle_alpha 90.00
_cell_angle_beta 90.00
_cell_angle_gamma 90.00
loop_
_space_group_symop_operation_xyz
'x,y,z'
loop_
_atom_site_label
_atom_site_type_symbol
_atom_site_fract_x
_atom_site_fract_y
_atom_site_fract_z
Sr1 Sr 0.000 0.000 0.000
Cr1 Cr 0.500 0.500 0.500
Bi1 Bi 0.000 0.500 0.500
Bi2 Bi 0.500 0.000 0.500
Bi3 Bi 0.500 0.500 0.000